Entry 1:
A plane-wave DFT calculation with PBE-GGA was carried out for a relaxed Ca2NiCCl crystal.

a = 5.1407 Å, b = 5.1407 Å, c = 3.6230 Å
α = 90.00°, β = 90.00°, γ = 90.00°
Element x y z (fractional)
C: 0.0000 0.0000 0.0000
Cl: 0.5000 0.5000 0.5000
Ca: 0.0000 0.5000 0.0000
Ca: 0.5000 0.0000 0.0000
Ni: 0.0000 0.0000 0.5000

Values from the calculation:
Mass density ... 3.231 g cm⁻³
Uncorrected formation energy ... -0.710 eV/atom
D(E_F) ... 0.270 states/eV per atom



Entry 2:
A plane-wave DFT calculation with PBE-GGA was carried out for a relaxed Li2FeMo2 crystal.

a = 3.6095 Å, b = 3.6095 Å, c = 5.7750 Å
α = 71.79°, β = 71.79°, γ = 90.00°
Element x y z (fractional)
Mo: 0.2500 0.7500 0.5000
Mo: 0.7500 0.2500 0.5000
Li: 0.5806 0.5806 0.8388
Li: 0.4194 0.4194 0.1612
Fe: 0.0000 0.0000 0.0000

Values from the calculation:
Formation energy ... 931 meV per atom
Offset from the most stable computed form ... 160 meV per atom
Mass density ... 6.436 g cm⁻³
D(E_F) ... 1.048 states/eV per atom



Entry 3:
A plane-wave DFT calculation with PBE-GGA was carried out for a relaxed HgB2Os crystal.

a = 5.1465 Å, b = 5.1465 Å, c = 6.0951 Å
α = 65.03°, β = 65.03°, γ = 90.00°
Element x y z (fractional)
B: 0.3750 0.4462 0.7500
B: 0.5538 0.1250 0.2500
B: 0.1962 0.6250 0.2500
B: 0.8750 0.8038 0.7500
Os: 0.2500 0.7500 0.5000
Os: 0.5000 0.5000 0.0000
Hg: 0.0000 0.0000 0.0000
Hg: 0.7500 0.2500 0.5000

Values from the calculation:
Formation energy ... 756 meV per atom
Mass density ... 10.577 g cm⁻³
D(E_F) ... 0.397 states/eV per atom



Entry 4:
A plane-wave DFT calculation with PBE-GGA was carried out for a relaxed Fe2Mo crystal.

a = 3.3671 Å, b = 3.3671 Å, c = 3.8037 Å
α = 90.00°, β = 90.00°, γ = 90.00°
Element x y z (fractional)
Mo: 0.0000 0.0000 0.0000
Fe: 0.5000 0.0000 0.5000
Fe: 0.0000 0.5000 0.5000

Values from the calculation:
Formation energy ... 750 meV per atom
Mass density ... 7.995 g cm⁻³
D(E_F) ... 1.078 states/eV per atom



Entry 5:
A plane-wave DFT calculation with PBE-GGA was carried out for a relaxed CaCe3Pm4Se8 crystal.

a = 8.4052 Å, b = 8.3946 Å, c = 8.4053 Å
α = 120.04°, β = 120.00°, γ = 90.00°
Element x y z (fractional)
Pm: 0.5000 0.0000 0.0000
Pm: 0.0000 0.0000 0.0000
Pm: 0.5000 0.0000 0.5000
Pm: 0.0000 0.0000 0.5000
Se: 0.7527 0.7480 0.0004
Se: 0.2473 0.2520 0.9996
Se: 0.7523 0.2520 0.9997
Se: 0.7524 0.2520 0.5047
Se: 0.7503 0.7507 0.5005
Se: 0.2476 0.7480 0.4953
Se: 0.2477 0.7480 0.0003
Se: 0.2497 0.2493 0.4995
Ce: 0.0000 0.5000 0.5000
Ce: 0.5000 0.5000 0.5000
Ce: 0.5000 0.5000 0.0000
Ca: 0.0000 0.5000 0.0000

Values from the calculation:
Mass density ... 6.625 g cm⁻³
Uncorrected formation energy ... -1.846 eV/atom
D(E_F) ... 1.355 states/eV per atom



Entry 6:
A plane-wave DFT calculation with PBE-GGA was carried out for a relaxed Sm6Mg7 crystal.

a = 6.0548 Å, b = 6.0548 Å, c = 12.0621 Å
α = 75.46°, β = 75.46°, γ = 60.00°
Element x y z (fractional)
Sm: 0.4525 0.4525 0.6426
Sm: 0.6525 0.6525 0.0425
Sm: 0.3475 0.3475 0.9575
Sm: 0.5475 0.5475 0.3574
Sm: 0.8348 0.8348 0.4956
Sm: 0.1652 0.1652 0.5044
Mg: 0.4097 0.9051 0.7802
Mg: 0.9051 0.4097 0.7802
Mg: 0.9051 0.9051 0.7802
Mg: 0.5903 0.0949 0.2198
Mg: 0.0949 0.5903 0.2198
Mg: 0.0000 0.0000 0.0000
Mg: 0.0949 0.0949 0.2198

Values from the calculation:
Formation energy ... -45 meV per atom
Mass density ... 4.858 g cm⁻³
D(E_F) ... 1.328 states/eV per atom



Entry 7:
A plane-wave DFT calculation with PBE-GGA was carried out for a relaxed KSe2Cl crystal.

a = 3.9607 Å, b = 3.9602 Å, c = 8.4402 Å
α = 90.00°, β = 90.00°, γ = 90.00°
Element x y z (fractional)
K: 0.0000 0.5000 0.5000
Se: 0.5000 0.5000 0.0000
Se: 0.0000 0.0000 0.0000
Cl: 0.5000 0.0000 0.5000

Values from the calculation:
Offset from the most stable computed form ... 137 meV per atom
Mass density ... 2.916 g cm⁻³
Uncorrected formation energy ... -0.662 eV/atom
D(E_F) ... 0.442 states/eV per atom



Entry 8:
A plane-wave DFT calculation with PBE-GGA was carried out for a relaxed HgTeSN2 crystal.

a = 4.1957 Å, b = 4.1957 Å, c = 6.3117 Å
α = 90.00°, β = 90.00°, γ = 90.00°
Element x y z (fractional)
N: 0.0000 0.5000 0.0000
N: 0.5000 0.0000 0.0000
Hg: 0.0000 0.0000 0.0000
Te: 0.5000 0.5000 0.5000
S: 0.0000 0.0000 0.5000

Values from the calculation:
Offset from the most stable computed form ... 614 meV per atom
Mass density ... 5.803 g cm⁻³
Uncorrected formation energy ... 1.895 eV/atom
D(E_F) ... 0.625 states/eV per atom



no.,VASP energy (eV per atom)
1,-4.8812
2,-5.8599
3,-5.4657
4,-8.5026
5,-6.0132
6,-3.0813
7,-3.1405
8,-2.9492